Computed, not measured: crystalline TaZnO3 at its relaxed geometry at the PBE level of DFT.

Unit cell a=3.9117 b=3.9117 c=4.0491 alpha=90.00 beta=90.00 gamma=90.00
Space group P4mm (No. 99)
Unique sites:
Ta1 0.0000 0.0000 0.0000 (multiplicity 1)
Zn1 0.5000 0.5000 0.4306 (multiplicity 1)
O1 0.0000 0.0000 0.5435 (multiplicity 1)
O2 0.0000 0.5000 0.0826 (multiplicity 2)

=====

Computed, not measured: crystalline Ta2ZnO4 at its relaxed geometry at the PBE level of DFT.

Unit cell a=6.1219 b=6.1219 c=8.6430 alpha=90.00 beta=90.00 gamma=90.00
Space group I4_1/amd (No. 141, origin choice 2)
Unique sites:
Ta1 0.0000 0.0000 0.0000 (multiplicity 8)
Zn1 0.0000 0.2500 0.3750 (multiplicity 4)
O1 0.0000 0.0037 0.7515 (multiplicity 16)

=====

Computed, not measured: crystalline TaZnO3 at its relaxed geometry at the PBE level of DFT.

Unit cell a=5.1616 b=5.1616 c=14.7422 alpha=90.00 beta=90.00 gamma=120.00
Space group R-3 (No. 148, hexagonal axes)
Unique sites:
Ta1 0.0000 0.0000 0.1553 (multiplicity 6)
Zn1 0.0000 0.0000 0.3593 (multiplicity 6)
O1 0.0129 0.6968 0.7519 (multiplicity 18)

=====

Q: Which raw total energy values were calculated for the entries above? A: -0.5529; -0.6052; -0.5587, in Ry per atom.